[1]
Compound: Ho5Co2Bi
Source: the Alexandria database
Functional: PBE
Structure: relaxed

Cell: 8.7076 8.7076 8.7076 Å, 128.41 128.41 75.96°
Last column: nearest neighbours and their distance in Å.
Sites, in units of the cell vectors:
Ho1 0.0000 0.0000 0.0000  4 Co 2.94
Ho2 0.0287 0.5287 0.8149  3 Co 2.83-2.85
Ho3 0.2137 0.0287 0.5000  3 Co 2.83-2.85
Ho4 0.2863 0.7863 0.8149  3 Co 2.83-2.85
Ho5 0.4713 0.2863 0.5000  3 Co 2.83-2.85
Ho6 0.5000 0.5000 0.0000  4 Co 2.94
Ho7 0.5287 0.7137 0.5000  3 Co 2.83-2.85
Ho8 0.7137 0.2137 0.1851  3 Co 2.83-2.85
Ho9 0.7863 0.9713 0.5000  3 Co 2.83-2.85
Ho10 0.9713 0.4713 0.1851  3 Co 2.83-2.85
Co1 0.1367 0.3633 0.5000  8 Ho 2.83-2.94, 1 Co 2.93
Co2 0.3633 0.8633 0.2265  8 Ho 2.83-2.94, 1 Co 2.93
Co3 0.6367 0.1367 0.7735  8 Ho 2.83-2.94, 1 Co 2.93
Co4 0.8633 0.6367 0.5000  8 Ho 2.83-2.94, 1 Co 2.93
Bi1 0.2500 0.2500 0.0000  10 Ho 3.31-3.43
Bi2 0.7500 0.7500 0.0000  10 Ho 3.31-3.43

## Properties
DOS at the Fermi energy	1.0921	states/eV/atom
crystal system	tetragonal
total magnetization	0.0	Bohr magnetons per cell
DFT formation energy	-0.36	eV per atom
V	394.2	Å³ per cell

[2]
Compound: Y3Mg2Pb4
Source: the Alexandria database
Functional: PBE
Structure: relaxed

Cell: 4.6995 7.0925 8.4414 Å, 110.77 106.14 90.03°
Last column: nearest neighbours and their distance in Å.
Sites, in units of the cell vectors:
Y1 0.0000 0.0000 0.0000  6 Pb 3.12-3.38
Y2 0.1246 0.6127 0.2486  7 Pb 3.24-3.51, 3 Mg 3.45-3.48
Y3 0.8754 0.3873 0.7514  7 Pb 3.24-3.51, 3 Mg 3.45-3.48
Mg1 0.3280 0.0004 0.6588  4 Pb 2.96-3.07
Mg2 0.6720 0.9996 0.3412  4 Pb 2.96-3.07
Pb1 0.2215 0.2735 0.4409  3 Mg 2.96-3.07, 2 Y 3.31-3.32
Pb2 0.4811 0.6984 0.9624  1 Mg 3.03, 1 Pb 3.09, 4 Y 3.12-3.24
Pb3 0.5189 0.3016 0.0376  1 Mg 3.03, 1 Pb 3.09, 4 Y 3.12-3.24
Pb4 0.7785 0.7265 0.5591  3 Mg 2.96-3.07, 2 Y 3.31-3.32

## Properties
DOS at the Fermi energy	0.2962	states/eV/atom
crystal system	triclinic
total magnetization	0.0	Bohr magnetons per cell
DFT formation energy	-0.39	eV per atom
V	251.2	Å³ per cell

[3]
Compound: CaEr2CdAu4
Source: the Alexandria database
Functional: PBE
Structure: relaxed

Cell: 8.6542 8.6542 8.6542 Å, 33.49 33.49 33.49°
Last column: nearest neighbours and their distance in Å.
Sites, in units of the cell vectors:
Ca1 0.0000 0.0000 0.0000  8 Au 3.00-3.04
Er1 0.2443 0.2443 0.2443  8 Au 2.98-3.15
Er2 0.7557 0.7557 0.7557  8 Au 2.98-3.15
Cd1 0.5000 0.5000 0.5000  8 Au 3.07-3.11
Au1 0.1227 0.1227 0.1227  4 Er 2.98-2.99, 1 Ca 3.00, 3 Cd 3.07
Au2 0.3731 0.3731 0.3731  3 Ca 3.04, 1 Cd 3.11, 4 Er 3.12-3.15
Au3 0.6269 0.6269 0.6269  3 Ca 3.04, 1 Cd 3.11, 4 Er 3.12-3.15
Au4 0.8773 0.8773 0.8773  4 Er 2.98-2.99, 1 Ca 3.00, 3 Cd 3.07

## Properties
DOS at the Fermi energy	0.5829	states/eV/atom
crystal system	trigonal
total magnetization	0.0	Bohr magnetons per cell
DFT formation energy	-0.74	eV per atom
V	175.7	Å³ per cell

[4]
Compound: MnV6Rh12
Source: the Alexandria database
Functional: PBE
Structure: relaxed

Cell: 6.4438 6.4438 6.4438 Å, 88.31 88.31 88.31°
Last column: nearest neighbours and their distance in Å.
Sites, in units of the cell vectors:
Mn1 0.0000 0.0000 0.0000  6 V 2.54, 6 Rh 2.55
V1 0.1129 0.2826 0.7406  8 Rh 2.51-2.77, 1 Mn 2.54, 2 V 2.70
V2 0.2594 0.8871 0.7174  8 Rh 2.51-2.77, 1 Mn 2.54, 2 V 2.70
V3 0.2826 0.7406 0.1129  8 Rh 2.51-2.77, 1 Mn 2.54, 2 V 2.70
V4 0.7174 0.2594 0.8871  8 Rh 2.51-2.77, 1 Mn 2.54, 2 V 2.70
V5 0.7406 0.1129 0.2826  8 Rh 2.51-2.77, 1 Mn 2.54, 2 V 2.70
V6 0.8871 0.7174 0.2594  8 Rh 2.51-2.77, 1 Mn 2.54, 2 V 2.70
Rh1 0.0162 0.3598 0.1531  4 V 2.53-2.77, 1 Mn 2.55, 4 Rh 2.64-2.74
Rh2 0.1531 0.0162 0.3598  4 V 2.53-2.77, 1 Mn 2.55, 4 Rh 2.64-2.74
Rh3 0.2036 0.5665 0.4583  4 V 2.51-2.73, 3 Rh 2.67-2.74
Rh4 0.3598 0.1531 0.0162  4 V 2.53-2.77, 1 Mn 2.55, 4 Rh 2.64-2.74
Rh5 0.4335 0.5417 0.7964  4 V 2.51-2.73, 3 Rh 2.67-2.74
Rh6 0.4583 0.2036 0.5665  4 V 2.51-2.73, 3 Rh 2.67-2.74
Rh7 0.5417 0.7964 0.4335  4 V 2.51-2.73, 3 Rh 2.67-2.74
Rh8 0.5665 0.4583 0.2036  4 V 2.51-2.73, 3 Rh 2.67-2.74
Rh9 0.6402 0.8469 0.9838  4 V 2.53-2.77, 1 Mn 2.55, 4 Rh 2.64-2.74
Rh10 0.7964 0.4335 0.5417  4 V 2.51-2.73, 3 Rh 2.67-2.74
Rh11 0.8469 0.9838 0.6402  4 V 2.53-2.77, 1 Mn 2.55, 4 Rh 2.64-2.74
Rh12 0.9838 0.6402 0.8469  4 V 2.53-2.77, 1 Mn 2.55, 4 Rh 2.64-2.74

## Properties
DOS at the Fermi energy	0.9445	states/eV/atom
crystal system	trigonal
total magnetization	0.0	Bohr magnetons per cell
DFT formation energy	-0.24	eV per atom
V	267.2	Å³ per cell

[5]
Compound: CaIn2Co
Source: the Alexandria database
Functional: PBE
Structure: relaxed

Cell: 4.3194 5.9299 5.9299 Å, 37.38 90.00 90.00°
Last column: nearest neighbours and their distance in Å.
Sites, in units of the cell vectors:
Ca1 0.0000 0.0000 0.0000  4 Co 3.06, 3 In 3.12-3.14
In1 0.0000 0.7208 0.7208  2 Co 2.60
In2 0.5000 0.3343 0.3343  1 Co 2.89, 4 In 3.15
Co1 0.5000 0.5918 0.5918  3 In 2.60-2.89

## Properties
DOS at the Fermi energy	0.6047	states/eV/atom
crystal system	orthorhombic
total magnetization	1.1	Bohr magnetons per cell
DFT formation energy	0.07	eV per atom
V	92.2	Å³ per cell

[6]
Compound: CaPuO4
Source: the Alexandria database
Functional: PBE
Structure: relaxed

Cell: 6.4461 6.4461 6.4461 Å, 130.79 130.79 72.15°
Last column: nearest neighbours and their distance in Å.
Sites, in units of the cell vectors:
Ca1 0.3750 0.6250 0.7500  8 O 2.39
Ca2 0.6250 0.3750 0.2500  8 O 2.39
Pu1 0.1250 0.8750 0.2500  8 O 2.22
Pu2 0.8750 0.1250 0.7500  8 O 2.22
O1 0.0000 0.2234 0.2234  2 Pu 2.22, 2 Ca 2.39, 1 O 2.40
O2 0.0000 0.7766 0.7766  2 Pu 2.22, 2 Ca 2.39, 1 O 2.40
O3 0.2234 0.0000 0.7234  2 Pu 2.22, 2 Ca 2.39, 1 O 2.40
O4 0.2234 0.5000 0.2234  2 Pu 2.22, 2 Ca 2.39, 1 O 2.40
O5 0.5000 0.2234 0.7234  2 Pu 2.22, 2 Ca 2.39, 1 O 2.40
O6 0.5000 0.7766 0.2766  2 Pu 2.22, 2 Ca 2.39, 1 O 2.40
O7 0.7766 0.0000 0.2766  2 Pu 2.22, 2 Ca 2.39, 1 O 2.40
O8 0.7766 0.5000 0.7766  2 Pu 2.22, 2 Ca 2.39, 1 O 2.40

## Properties
DOS at the Fermi energy	0.8091	states/eV/atom
crystal system	tetragonal
total magnetization	4.0	Bohr magnetons per cell
raw formation energy	-2660	meV/atom
V	150.1	Å³ per cell

[7]
Compound: YAsPt
Source: the Alexandria database
Functional: PBE
Structure: relaxed

Cell: 5.0128 5.0128 5.0128 Å, 134.17 134.17 66.83°
Last column: nearest neighbours and their distance in Å.
Sites, in units of the cell vectors:
Y1 0.0000 0.0000 0.0000  5 As 2.83-3.08, 5 Pt 3.00-3.01
As1 0.6623 0.6623 0.0000  1 Pt 2.53, 1 Y 2.83
Pt1 0.3595 0.3595 0.0000  1 As 2.53

## Properties
DOS at the Fermi energy	0.4965	states/eV/atom
crystal system	tetragonal
total magnetization	0.0	Bohr magnetons per cell
DFT formation energy	-0.80	eV per atom
V	63.8	Å³ per cell

[8]
Compound: La2CePr6Dy
Source: the Alexandria database
Functional: PBE
Structure: relaxed

Cell: 6.7528 6.7528 9.5710 Å, 109.27 109.27 63.00°
Last column: nearest neighbours and their distance in Å.
Sites, in units of the cell vectors:
La1 0.1345 0.1345 0.2088  2 Pr 3.16
La2 0.8655 0.8655 0.7912  2 Pr 3.16
Ce1 0.5000 0.5000 0.0000  6 Pr 3.45-3.63
Pr1 0.0905 0.6103 0.1865  1 La 3.16, 1 Dy 3.29, 2 Pr 3.39-3.42, 1 Ce 3.45
Pr2 0.3643 0.3643 0.5882  1 La 3.57, 1 Ce 3.63, 2 Pr 3.65, 1 Dy 3.95
Pr3 0.3897 0.9095 0.8135  1 La 3.16, 1 Dy 3.29, 2 Pr 3.39-3.42, 1 Ce 3.45
Pr4 0.6103 0.0905 0.1865  1 La 3.16, 1 Dy 3.29, 2 Pr 3.39-3.42, 1 Ce 3.45
Pr5 0.6357 0.6357 0.4118  1 La 3.57, 1 Ce 3.63, 2 Pr 3.65, 1 Dy 3.95
Pr6 0.9095 0.3897 0.8135  1 La 3.16, 1 Dy 3.29, 2 Pr 3.39-3.42, 1 Ce 3.45
Dy1 0.0000 0.0000 0.5000  4 Pr 3.29, 2 La 3.68

## Properties
DOS at the Fermi energy	2.0333	states/eV/atom
crystal system	monoclinic
total magnetization	0.9	Bohr magnetons per cell
DFT formation energy	0.23	eV per atom
V	358.6	Å³ per cell

[9]
Compound: Pr5HoTh2
Source: the Alexandria database
Functional: PBE
Structure: relaxed

Cell: 9.0469 9.0469 9.0469 Å, 157.21 101.05 83.48°
Last column: nearest neighbours and their distance in Å.
Sites, in units of the cell vectors:
Pr1 0.0000 0.0000 0.0000  2 Th 3.49, 10 Pr 3.58-3.73
Pr2 0.1101 0.3701 0.7400  3 Th 3.35-3.72, 7 Pr 3.51-3.73
Pr3 0.3699 0.6299 0.7400  3 Th 3.35-3.72, 7 Pr 3.51-3.73
Pr4 0.6301 0.3701 0.2600  3 Th 3.35-3.72, 7 Pr 3.51-3.73
Pr5 0.8899 0.6299 0.2600  3 Th 3.35-3.72, 7 Pr 3.51-3.73
Ho1 0.5000 0.0000 0.5000  2 Ho 3.58, 4 Th 3.72, 8 Pr 3.90
Th1 0.2587 0.2587 0.0000  7 Pr 3.35-3.72, 2 Th 3.58, 2 Ho 3.72
Th2 0.7413 0.7413 0.0000  7 Pr 3.35-3.72, 2 Th 3.58, 2 Ho 3.72

## Properties
DOS at the Fermi energy	1.5283	states/eV/atom
crystal system	orthorhombic
total magnetization	0.0	Bohr magnetons per cell
DFT formation energy	0.11	eV per atom
V	277.6	Å³ per cell

[10]
Compound: CsLiZrS3
Source: the Alexandria database
Functional: PBE
Structure: relaxed

Cell: 9.1393 3.8910 9.6788 Å, 90.00 113.04 90.00°
Last column: nearest neighbours and their distance in Å.
Sites, in units of the cell vectors:
Cs1 0.2244 0.2500 0.2605  7 S 3.53-3.66, 2 Cs 3.89
Cs2 0.7756 0.7500 0.7395  7 S 3.53-3.66, 2 Cs 3.89
Li1 0.0765 0.2500 0.6029  4 S 2.39-2.47
Li2 0.9235 0.7500 0.3971  4 S 2.39-2.47
Zr1 0.3229 0.7500 0.8448  6 S 2.49-2.67
Zr2 0.6771 0.2500 0.1552  6 S 2.49-2.67
S1 0.1443 0.2500 0.8677  1 Li 2.39, 2 Zr 2.60
S2 0.2078 0.7500 0.5654  3 Li 2.39-2.47, 1 Zr 2.49
S3 0.4769 0.7500 0.1435  3 Zr 2.64-2.67
S4 0.5231 0.2500 0.8565  3 Zr 2.64-2.67
S5 0.7922 0.2500 0.4346  3 Li 2.39-2.47, 1 Zr 2.49
S6 0.8557 0.7500 0.1323  1 Li 2.39, 2 Zr 2.60

## Properties
crystal system	monoclinic
total magnetization	0.0	Bohr magnetons per cell
raw formation energy	-1487	meV/atom
V	316.7	Å³ per cell

[11]
Compound: AlIrW2
Source: the Alexandria database
Functional: PBE
Structure: relaxed

Cell: 2.7611 4.1662 5.3011 Å, 90.00 92.41 90.00°
Last column: nearest neighbours and their distance in Å.
Sites, in units of the cell vectors:
Al1 0.0000 0.0000 0.0000  2 Ir 2.65, 2 Al 2.76, 8 W 2.77-2.86
Ir1 0.0000 0.0000 0.5000  2 Al 2.65, 2 Ir 2.76, 8 W 2.83-2.85
W1 0.4872 0.5000 0.2449  4 W 2.60-2.76, 4 Al 2.77-2.86, 4 Ir 2.83-2.85
W2 0.5128 0.5000 0.7551  4 W 2.60-2.76, 4 Al 2.77-2.86, 4 Ir 2.83-2.85

## Properties
DOS at the Fermi energy	0.5307	states/eV/atom
crystal system	monoclinic
total magnetization	0.0	Bohr magnetons per cell
DFT formation energy	-0.19	eV per atom
V	60.9	Å³ per cell

[12]
Compound: BaMg2Al
Source: the Alexandria database
Functional: PBE
Structure: relaxed

Cell: 6.7828 6.7828 3.2974 Å, 102.23 102.23 120.80°
Last column: nearest neighbours and their distance in Å.
Sites, in units of the cell vectors:
Ba1 0.0000 0.0000 0.0000  2 Ba 3.30, 4 Al 3.35-3.55, 4 Mg 3.44
Mg1 0.0000 0.5000 0.5000  6 Mg 3.30-3.55, 2 Ba 3.44, 2 Al 3.44
Mg2 0.5000 0.0000 0.5000  6 Mg 3.30-3.55, 2 Ba 3.44, 2 Al 3.44
Al1 0.5000 0.5000 0.0000  2 Al 3.30, 4 Ba 3.35-3.55, 4 Mg 3.44

## Properties
DOS at the Fermi energy	0.9110	states/eV/atom
crystal system	monoclinic
total magnetization	0.0	Bohr magnetons per cell
DFT formation energy	0.21	eV per atom
V	117.7	Å³ per cell